VASP calculation (PBE+U) on a geometry-optimized CsLi2MnF8 structure.

Cell: 5.071 5.071 8.003 Å, 104.49 104.49 71.13°
Positions (direct):
Cs: 0.000 0.000 0.000
Li: 0.428 0.428 0.692
Li: 0.572 0.572 0.308
Mn: 0.000 0.000 0.500
F: 0.178 0.731 0.328
F: 0.223 0.223 0.505
F: 0.269 0.822 0.672
F: 0.382 0.382 0.915
F: 0.618 0.618 0.085
F: 0.731 0.178 0.328
F: 0.777 0.777 0.495
F: 0.822 0.269 0.672

Computed properties:
total magnetic moment	4.01	μB per formula unit
energy	-55.98	eV per cell
space-group type	C2/m, No. 12